KLaIr2: relaxed, GGA-PBE.

a = 3.2309 Å, b = 3.2309 Å, c = 8.9320 Å
α = 90.00°, β = 90.00°, γ = 90.18°
With the nearest neighbours (Å) after each atom.
Positions (direct):
Ir  0.0000  0.0000  0.9710  4 La 3.02, 4 Ir 3.23
Ir  0.0000  0.0000  0.5290  4 La 3.02, 4 Ir 3.23
K  0.5000  0.5000  0.2500  4 K 3.23, 8 Ir 3.38
La  0.5000  0.5000  0.7500  8 Ir 3.02, 4 La 3.23

Relative energy among the computed polymorphs: 441 meV per atom
Formation energy from the elements: 0.28 eV/atom